1.
A plane-wave DFT calculation with PBE was carried out for La2Ho2Rh15 after structural relaxation.

Structure (POSCAR):
```
La2Ho2Rh15
1.0
6.9610 0.0034 0.0030
0.9064 6.9018 0.0030
0.9064 0.7956 6.8558
La Ho Rh
2 2 15
Direct
0.3576 0.3576 0.3576 La
0.6424 0.6424 0.6424 La
0.1094 0.1094 0.1094 Ho
0.8906 0.8906 0.8906 Ho
0.5000 0.0000 0.0000 Rh
0.0000 0.0000 0.5000 Rh
0.0000 0.5000 0.0000 Rh
0.0000 0.6957 0.3043 Rh
0.6957 0.3043 0.0000 Rh
0.3043 0.0000 0.6957 Rh
0.3043 0.6957 0.0000 Rh
0.6957 0.0000 0.3043 Rh
0.0000 0.3043 0.6957 Rh
0.1577 0.6506 0.6506 Rh
0.6506 0.6506 0.1577 Rh
0.6506 0.1577 0.6506 Rh
0.8423 0.3494 0.3494 Rh
0.3494 0.3494 0.8423 Rh
0.3494 0.8423 0.3494 Rh
```

Properties
Theoretical density   10.85 Mg/m³
Formation energy from the elements   -384 meV per atom
Total energy   -7.188 eV per atom
Spin magnetization   0.0 μB/cell

***

2.
A plane-wave DFT calculation with PBE was carried out for MnNbAl after structural relaxation.

Structure (POSCAR):
```
MnNbAl
1.0
-0.3673 1.4554 -4.2688
0.9101 -2.8043 -3.4327
-4.8901 -1.9877 -2.6552
Mn Nb Al
2 2 2
Direct
0.2623 0.2623 0.2130 Mn
0.7377 0.7377 0.7870 Mn
0.1106 0.1106 0.6683 Nb
0.8894 0.8894 0.3317 Nb
0.4124 0.4124 0.7628 Al
0.5876 0.5876 0.2372 Al
```

Properties
Theoretical density   6.18 Mg/m³
Formation energy from the elements   87 meV per atom
Total energy   -7.573 eV per atom
Spin magnetization   0.0 μB/cell
Energy above the lowest structure with this stoichiometry   362 meV per atom

***

3.
A plane-wave DFT calculation with PBE was carried out for Al2CdCo after structural relaxation.

Structure (POSCAR):
```
Al2CdCo
1.0
4.6100 0.0005 -0.0058
3.6937 2.7585 -0.0058
1.0086 0.3351 4.8656
Co Al Cd
1 2 1
Direct
0.7500 0.7500 0.7500 Co
0.0224 0.0224 0.9568 Al
0.4776 0.4776 0.5432 Al
0.2500 0.2500 0.2500 Cd
```

Properties
Theoretical density   6.05 Mg/m³
Formation energy from the elements   -12 meV per atom
Total energy   -3.888 eV per atom
Spin magnetization   0.0 μB/cell

***

4.
A plane-wave DFT calculation with PBE was carried out for Tm3Mg4S8 after structural relaxation.

Structure (POSCAR):
```
Tm3Mg4S8
1.0
-5.2570 1.0028 5.3315
-0.4214 -5.9340 -4.6881
7.0245 -2.0756 1.9279
Tm Mg S
3 4 8
Direct
0.5000 0.5000 0.0000 Tm
0.5000 0.0000 0.5000 Tm
0.5000 0.5000 0.5000 Tm
0.5000 0.0000 0.0000 Mg
0.0000 0.5000 0.0000 Mg
0.0000 0.0000 0.0000 Mg
0.0000 0.0000 0.5000 Mg
0.4958 0.2447 0.2447 S
0.0000 0.7557 0.2443 S
0.9927 0.2370 0.2370 S
0.5000 0.7542 0.2458 S
0.5000 0.2458 0.7542 S
0.0073 0.7630 0.7630 S
0.0000 0.2443 0.7557 S
0.5042 0.7553 0.7553 S
```

Properties
Theoretical density   4.67 Mg/m³
Total energy   -5.189 eV per atom
Uncorrected formation energy   -25.022 eV/f.u.
Spin magnetization   0.0 μB/cell

***

5.
A plane-wave DFT calculation with PBE was carried out for CsCdSb2Te after structural relaxation.

Structure (POSCAR):
```
CsCdSb2Te
1.0
-3.9757 -1.9849 -3.5209
3.9985 -2.6532 -3.0192
-0.6237 -4.8578 3.4428
Cs Sb Te Cd
1 2 1 1
Direct
0.5000 0.5000 0.5000 Cs
0.0000 0.5000 0.0000 Sb
0.5000 0.0000 0.0000 Sb
0.0000 0.0000 0.5000 Te
0.0000 0.0000 0.0000 Cd
```

Properties
Theoretical density   5.32 Mg/m³
Total energy   -2.502 eV per atom
Uncorrected formation energy   0.647 eV/f.u.
Spin magnetization   0.0 μB/cell
Energy above the lowest structure with this stoichiometry   0 meV per atom

***

6.
A plane-wave DFT calculation with PBE was carried out for Mg2GeSb after structural relaxation.

Structure (POSCAR):
```
Mg2GeSb
1.0
0.0000 3.5378 3.5378
3.5378 0.0000 3.5378
3.5378 3.5378 0.0000
Sb Ge Mg
1 1 2
Direct
0.5000 0.5000 0.5000 Sb
0.0000 0.0000 0.0000 Ge
0.2500 0.2500 0.2500 Mg
0.7500 0.7500 0.7500 Mg
```

Properties
Theoretical density   4.56 Mg/m³
Total energy   -3.039 eV per atom
Uncorrected formation energy   -0.226 eV/f.u.
Spin magnetization   0.0 μB/cell
Energy above the lowest structure with this stoichiometry   52 meV per atom